Entry 1:
# PBEsol RuPtS2, relaxed
data_RuPtS2
_chemical_formula_sum 'Ru4 Pt4 S8'
_cell_length_a 6.0329
_cell_length_b 6.0329
_cell_length_c 6.0329
_cell_angle_alpha 90.00
_cell_angle_beta 90.00
_cell_angle_gamma 90.00
_symmetry_space_group_name_H-M 'P 1'
_symmetry_Int_Tables_number 1
_symmetry_space_group_name_Hall 'P 1'
loop_
_atom_site_label
_atom_site_fract_x
_atom_site_fract_y
_atom_site_fract_z
Ru1 0.0000 0.0000 0.0000
Ru2 0.0000 0.5000 0.5000
Ru3 0.5000 0.0000 0.5000
Ru4 0.5000 0.5000 0.0000
Pt1 0.0000 0.0000 0.5000
Pt2 0.0000 0.5000 0.0000
Pt3 0.5000 0.0000 0.0000
Pt4 0.5000 0.5000 0.5000
S1 0.2500 0.2500 0.2500
S2 0.2500 0.2500 0.7500
S3 0.2500 0.7500 0.2500
S4 0.2500 0.7500 0.7500
S5 0.7500 0.2500 0.2500
S6 0.7500 0.2500 0.7500
S7 0.7500 0.7500 0.2500
S8 0.7500 0.7500 0.7500
# E above lowest polymorph: 448 meV per atom
# crystal system: cubic
# raw formation energy: 0.298 eV/atom
# symmetry: Fm-3m
# DOS(E_F): 5.230 states/eV/f.u.
# ρ: 10.899 g/cm3

=====

Entry 2:
# PBEsol KCdO2, relaxed
data_KCdO2
_chemical_formula_sum 'K4 Cd4 O8'
_cell_length_a 6.2563
_cell_length_b 6.2563
_cell_length_c 7.0649
_cell_angle_alpha 90.00
_cell_angle_beta 90.00
_cell_angle_gamma 90.00
_symmetry_space_group_name_H-M 'P 1'
_symmetry_Int_Tables_number 1
_symmetry_space_group_name_Hall 'P 1'
loop_
_atom_site_label
_atom_site_fract_x
_atom_site_fract_y
_atom_site_fract_z
K1 0.0000 0.0000 0.0000
K2 0.0000 0.5000 0.2500
K3 0.5000 0.0000 0.7500
K4 0.5000 0.5000 0.5000
Cd1 0.0000 0.0000 0.5000
Cd2 0.0000 0.5000 0.7500
Cd3 0.5000 0.0000 0.2500
Cd4 0.5000 0.5000 0.0000
O1 0.1827 0.7500 0.6250
O2 0.2500 0.1827 0.3750
O3 0.2500 0.3173 0.8750
O4 0.3173 0.7500 0.1250
O5 0.6827 0.2500 0.1250
O6 0.7500 0.6827 0.8750
O7 0.7500 0.8173 0.3750
O8 0.8173 0.2500 0.6250
# crystal system: tetragonal
# raw formation energy: -0.803 eV/atom
# symmetry: I-42d
# DOS(E_F): 4.011 states/eV/f.u.
# ρ: 4.408 g/cm3

=====

Entry 3:
# PBEsol Sr2LaScTi, relaxed
data_Sr2LaScTi
_chemical_formula_sum 'Sr2 La1 Sc1 Ti1'
_cell_length_a 5.8643
_cell_length_b 5.8643
_cell_length_c 5.5776
_cell_angle_alpha 90.00
_cell_angle_beta 90.00
_cell_angle_gamma 90.00
_symmetry_space_group_name_H-M 'P 1'
_symmetry_Int_Tables_number 1
_symmetry_space_group_name_Hall 'P 1'
loop_
_atom_site_label
_atom_site_fract_x
_atom_site_fract_y
_atom_site_fract_z
Sr1 0.0000 0.5000 0.0000
Sr2 0.5000 0.0000 0.0000
La1 0.0000 0.0000 0.5000
Sc1 0.0000 0.0000 0.0000
Ti1 0.5000 0.5000 0.5000
# crystal system: tetragonal
# calculated formation energy: 1.15 eV per atom
# symmetry: P4/mmm
# DOS(E_F): 9.310 states/eV/f.u.
# ρ: 3.523 g/cm3

=====

Entry 4:
# PBEsol SiPSe2, relaxed
data_SiPSe2
_chemical_formula_sum 'Si1 P1 Se2'
_cell_length_a 2.6209
_cell_length_b 2.6209
_cell_length_c 11.5895
_cell_angle_alpha 90.00
_cell_angle_beta 90.00
_cell_angle_gamma 90.00
_symmetry_space_group_name_H-M 'P 1'
_symmetry_Int_Tables_number 1
_symmetry_space_group_name_Hall 'P 1'
loop_
_atom_site_label
_atom_site_fract_x
_atom_site_fract_y
_atom_site_fract_z
Si1 0.0000 0.0000 0.0000
P1 0.5000 0.5000 0.8424
Se1 0.0000 0.0000 0.5712
Se2 0.5000 0.5000 0.2536
# E above lowest polymorph: 147 meV per atom
# crystal system: tetragonal
# raw formation energy: 0.371 eV/atom
# symmetry: P4mm
# DOS(E_F): 1.496 states/eV/f.u.
# ρ: 4.526 g/cm3

=====

Copy entry 4 word for word.
# PBEsol SiPSe2, relaxed
data_SiPSe2
_chemical_formula_sum 'Si1 P1 Se2'
_cell_length_a 2.6209
_cell_length_b 2.6209
_cell_length_c 11.5895
_cell_angle_alpha 90.00
_cell_angle_beta 90.00
_cell_angle_gamma 90.00
_symmetry_space_group_name_H-M 'P 1'
_symmetry_Int_Tables_number 1
_symmetry_space_group_name_Hall 'P 1'
loop_
_atom_site_label
_atom_site_fract_x
_atom_site_fract_y
_atom_site_fract_z
Si1 0.0000 0.0000 0.0000
P1 0.5000 0.5000 0.8424
Se1 0.0000 0.0000 0.5712
Se2 0.5000 0.5000 0.2536
# E above lowest polymorph: 147 meV per atom
# crystal system: tetragonal
# raw formation energy: 0.371 eV/atom
# symmetry: P4mm
# DOS(E_F): 1.496 states/eV/f.u.
# ρ: 4.526 g/cm3